Below is a geometry-optimized SrZnRe structure, with properties calculated at the PBE level.

Output
polymorph energy (0 for the lowest one) = 13.1 kJ per mole of atoms
total DFT energy (no corrections) = -13.16 eV for the cell shown
crystal system = tetragonal
DFT formation energy = 0.748 eV per atom

Cell: 7.3090 7.3083 2.9102 Å, 78.53 78.50 22.97°
Positions (direct):
Re: 0.0168 0.0168 0.9832
Zn: 0.6485 0.6485 0.3515
Sr: 0.3347 0.3347 0.6653